1.
Here is a relaxed structure of Sr2Al2Co from Alexandria via LeMat-Bulk. Energies are from PBE.

a b c (Å): 6.819 6.819 5.346
angles (deg): 90.00 90.00 90.00
Sites, in units of the cell vectors:
Sr1 0.178 0.322 0.000
Sr2 0.322 0.822 0.000
Sr3 0.678 0.178 0.000
Sr4 0.822 0.678 0.000
Al1 0.149 0.649 0.500
Al2 0.351 0.149 0.500
Al3 0.649 0.851 0.500
Al4 0.851 0.351 0.500
Co1 0.000 0.000 0.500
Co2 0.500 0.500 0.500

Computed properties:
The value obtained for the electronic total energy is -3.421 eV per atom. The space group is P4/mbm.

2.
Here is a relaxed structure of SrAl3Co from Alexandria via LeMat-Bulk. Energies are from PBE.

a b c (Å): 4.621 4.621 4.621
angles (deg): 90.00 90.00 90.00
Sites, in units of the cell vectors:
Sr1 0.000 0.000 0.000
Al1 0.000 0.500 0.500
Al2 0.500 0.000 0.500
Al3 0.500 0.500 0.000
Co1 0.500 0.500 0.500

Computed properties:
The value obtained for the electronic total energy is -4.301 eV per atom. The space group is Pm-3m.

3.
Here is a relaxed structure of SrAl2Co2 from Alexandria via LeMat-Bulk. Energies are from PBE.

a b c (Å): 4.258 4.258 10.197
angles (deg): 90.00 90.00 90.00
Sites, in units of the cell vectors:
Sr1 0.000 0.000 0.000
Sr2 0.500 0.500 0.500
Al1 0.000 0.000 0.350
Al2 0.000 0.000 0.650
Al3 0.500 0.500 0.150
Al4 0.500 0.500 0.850
Co1 0.000 0.500 0.250
Co2 0.000 0.500 0.750
Co3 0.500 0.000 0.250
Co4 0.500 0.000 0.750

Computed properties:
The value obtained for the electronic total energy is -4.834 eV per atom. The space group is I4/mmm.

4.
Here is a relaxed structure of SrAlCo3 from Alexandria via LeMat-Bulk. Energies are from PBE.

a b c (Å): 4.650 4.650 4.650
angles (deg): 90.00 90.00 90.00
Sites, in units of the cell vectors:
Sr1 0.000 0.000 0.000
Al1 0.500 0.500 0.500
Co1 0.000 0.000 0.500
Co2 0.000 0.500 0.000
Co3 0.500 0.000 0.000

Computed properties:
The value obtained for the electronic total energy is -3.277 eV per atom. The space group is Pm-3m. The calculation puts the energy above the most stable polymorph in this dataset at 1473 meV/atom.

5.
Here is a relaxed structure of Sr9AlCo2 from Alexandria via LeMat-Bulk. Energies are from PBE.

a b c (Å): 11.353 11.353 4.666
angles (deg): 90.00 90.00 120.00
Sites, in units of the cell vectors:
Sr1 0.000 0.500 0.000
Sr2 0.210 0.420 0.500
Sr3 0.210 0.790 0.500
Sr4 0.420 0.210 0.500
Sr5 0.500 0.000 0.000
Sr6 0.500 0.500 0.000
Sr7 0.580 0.790 0.500
Sr8 0.790 0.210 0.500
Sr9 0.790 0.580 0.500
Al1 0.000 0.000 0.000
Co1 0.333 0.667 0.000
Co2 0.667 0.333 0.000

Computed properties:
The value obtained for the electronic total energy is -2.311 eV per atom. The space group is P6/mmm.

6.
Here is a relaxed structure of Sr2AlCo9 from Alexandria via LeMat-Bulk. Energies are from PBE.

a b c (Å): 8.708 8.708 2.624
angles (deg): 90.00 90.00 120.00
Sites, in units of the cell vectors:
Sr1 0.333 0.667 0.000
Sr2 0.667 0.333 0.000
Al1 0.000 0.000 0.000
Co1 0.000 0.500 0.000
Co2 0.152 0.304 0.500
Co3 0.152 0.848 0.500
Co4 0.304 0.152 0.500
Co5 0.500 0.000 0.000
Co6 0.500 0.500 0.000
Co7 0.696 0.848 0.500
Co8 0.848 0.152 0.500
Co9 0.848 0.696 0.500

Computed properties:
The value obtained for the electronic total energy is -5.295 eV per atom. The space group is P6/mmm.

Record-wise M_tot values, in μB/f.u.: 0.82, 0.00, 0.00, 2.83, 2.84, 12.90
Record-wise E_form values, in kJ/mol of formula units: 82, -143, -76, 999, 518, 726